Record 1
14
Lattice="8.686 0.000 0.000 4.343 7.522 0.000 4.343 2.507 7.081" Properties=species:S:1:pos:R:3 comment="PmNd4SmSe8 PBE-GGA relaxed" vol_a3_per_atom=33.0 formation_energy_uncorrected_ev_per_atom=-1.73 magnetic_moment_mub_per_atom=0.000 e_tot_ev_per_fu=-80.6 pbc="T T T"
Se 6.369 6.353 1.811
Se 4.343 2.507 1.900
Se 8.686 7.659 5.279
Se 10.976 3.693 5.279
Se 8.686 2.340 1.811
Se 6.396 3.693 5.279
Se 11.003 6.353 1.811
Se 13.029 7.522 5.151
Pm 4.343 2.507 7.070
Nd 8.686 5.015 0.893
Nd 2.179 1.258 3.543
Nd 4.343 5.007 3.543
Nd 6.507 1.258 3.543
Sm 8.686 5.015 6.191

---

Record 2
8
Lattice="4.229 0.000 0.000 0.000 7.379 -0.172 0.000 2.574 6.922" Properties=species:S:1:pos:R:3 comment="SrPm2NdSe4 PBE-GGA relaxed" vol_a3_per_atom=27.2 formation_energy_uncorrected_ev_per_atom=-1.87 magnetic_moment_mub_per_atom=0.000 e_tot_ev_per_fu=-44.8 pbc="T T T"
Se 4.229 2.449 1.725
Se 2.115 3.742 5.147
Se 2.115 6.211 1.604
Se 0.000 7.504 5.026
Sr 2.115 6.263 6.837
Nd 0.000 4.976 3.375
Pm 0.000 2.574 6.922
Pm 2.115 1.287 3.461

---

Record 3
16
Lattice="8.473 0.000 0.000 0.000 8.480 -0.003 -4.237 -4.231 5.995" Properties=species:S:1:pos:R:3 comment="SrPm3Nd4Se8 PBE-GGA relaxed" vol_a3_per_atom=26.9 formation_energy_uncorrected_ev_per_atom=-1.85 magnetic_moment_mub_per_atom=0.000 e_tot_ev_per_fu=-92.4 pbc="T T T"
Nd 2.118 -2.115 2.998
Nd 4.237 0.000 0.000
Nd 0.000 0.000 0.000
Nd -2.118 -2.115 2.998
Pm 4.237 4.240 -0.002
Pm -2.118 2.125 2.996
Pm 2.118 2.125 2.996
Se 6.333 2.115 0.012
Se 4.237 0.022 2.978
Se -2.096 2.134 5.981
Se 2.096 2.134 5.981
Se 4.237 4.227 2.983
Se 0.000 4.227 3.014
Se 2.140 2.115 0.012
Se 0.000 0.022 3.009
Sr 0.000 4.240 -0.002

---

Record 4
12
Lattice="7.417 0.002 0.000 -3.705 6.425 0.000 -1.238 -2.144 7.170" Properties=species:S:1:pos:R:3 comment="Sr3PmNd2Se6 PBE-GGA relaxed" vol_a3_per_atom=28.5 formation_energy_uncorrected_ev_per_atom=-1.92 magnetic_moment_mub_per_atom=0.000 e_tot_ev_per_fu=-63.3 pbc="T T T"
Se 3.703 2.153 5.446
Se 0.014 4.283 5.446
Se -0.008 -0.013 5.442
Se -1.229 2.130 1.724
Se 2.459 -0.001 1.724
Se 2.481 4.296 1.727
Nd 3.707 2.145 0.000
Nd 0.005 4.282 0.000
Sr -2.464 4.279 3.585
Sr 1.237 2.141 3.585
Sr 4.938 0.004 3.585
Pm 0.000 0.000 0.000

---

Record 5
14
Lattice="-4.004 -7.559 -1.726 3.699 -7.539 2.373 -3.456 -4.694 6.516" Properties=species:S:1:pos:R:3 comment="SrPm4NdSe8 PBE-GGA relaxed" vol_a3_per_atom=33.7 formation_energy_uncorrected_ev_per_atom=-1.80 magnetic_moment_mub_per_atom=0.000 e_tot_ev_per_fu=-78.6 pbc="T T T"
Se -3.085 -8.650 0.922
Se -0.594 -11.186 6.247
Se -1.065 -4.935 2.025
Se 0.993 -8.640 3.093
Se -2.743 -14.852 5.225
Se -4.805 -11.197 4.006
Se -2.616 -7.065 4.950
Se -1.127 -12.641 2.179
Pm -1.735 -2.382 3.271
Pm 0.089 -6.098 4.442
Pm -3.709 -6.108 2.420
Pm -0.622 -10.023 1.216
Sr -3.143 -9.769 5.954
Nd -3.437 -4.696 6.481

---

Record 6
12
Lattice="7.340 -0.008 0.001 -3.675 6.354 0.001 -1.221 -2.115 6.941" Properties=species:S:1:pos:R:3 comment="SrPm3Nd2Se6 PBE-GGA relaxed" vol_a3_per_atom=27.0 formation_energy_uncorrected_ev_per_atom=-1.86 magnetic_moment_mub_per_atom=0.000 e_tot_ev_per_fu=-68.7 pbc="T T T"
Se 3.676 2.100 5.164
Se 2.462 -0.002 1.778
Se -0.018 4.233 5.164
Se 0.009 0.015 5.194
Se 2.435 4.217 1.749
Se -1.232 2.131 1.778
Pm -2.471 4.248 3.471
Pm 1.222 2.116 3.471
Pm 4.915 -0.017 3.471
Nd -0.010 4.237 0.001
Nd 3.675 2.109 0.001
Sr 0.000 0.000 0.000

---

Record 7
8
Lattice="-2.411 -2.151 -2.742 1.572 -6.297 3.557 -5.039 -1.104 5.298" Properties=species:S:1:pos:R:3 comment="SrPmNd2Se4 PBE-GGA relaxed" vol_a3_per_atom=27.4 formation_energy_uncorrected_ev_per_atom=-1.87 magnetic_moment_mub_per_atom=0.000 e_tot_ev_per_fu=-44.9 pbc="T T T"
Se -1.254 -6.089 2.605
Se -4.624 -3.463 3.509
Se -2.618 -5.551 6.658
Se -3.260 -4.001 -0.544
Sr -1.733 -3.701 4.428
Nd -5.039 -1.104 5.298
Nd -3.725 -1.628 1.278
Pm -0.420 -4.224 0.408

---

Record 8
12
Lattice="7.228 -0.017 -0.003 -3.627 6.252 -0.003 -1.204 -2.084 6.869" Properties=species:S:1:pos:R:3 comment="Tb2PmNd3Se6 PBE-GGA relaxed" vol_a3_per_atom=25.8 formation_energy_uncorrected_ev_per_atom=-1.82 magnetic_moment_mub_per_atom=0.000 e_tot_ev_per_fu=-71.1 pbc="T T T"
Se 2.377 4.116 1.635
Se 2.453 -0.009 1.660
Se -0.056 4.159 5.204
Se 3.631 2.030 5.204
Se 0.020 0.034 5.229
Se -1.234 2.121 1.660
Nd 1.199 2.075 3.432
Nd -2.464 4.190 3.432
Nd 4.861 -0.040 3.432
Tb -0.004 4.159 -0.003
Tb 3.605 2.075 -0.003
Pm 0.000 0.000 0.000

---

Q: Number 4 is which compound?
A: Sr3PmNd2Se6

---

Q: What is the formula in the first record?
A: PmNd4SmSe8

---

Please write out number 7 again, unchanged.
8
Lattice="-2.411 -2.151 -2.742 1.572 -6.297 3.557 -5.039 -1.104 5.298" Properties=species:S:1:pos:R:3 comment="SrPmNd2Se4 PBE-GGA relaxed" vol_a3_per_atom=27.4 formation_energy_uncorrected_ev_per_atom=-1.87 magnetic_moment_mub_per_atom=0.000 e_tot_ev_per_fu=-44.9 pbc="T T T"
Se -1.254 -6.089 2.605
Se -4.624 -3.463 3.509
Se -2.618 -5.551 6.658
Se -3.260 -4.001 -0.544
Sr -1.733 -3.701 4.428
Nd -5.039 -1.104 5.298
Nd -3.725 -1.628 1.278
Pm -0.420 -4.224 0.408